[1]
KSc: single point on PBEsol structure, SCAN.

Output
- Formation energy: 0.4034 eV/atom
- Final energy: -10.879 eV/atom

a = 3.5506 Å, b = 3.5506 Å, c = 13.2430 Å
α = 90.00°, β = 90.00°, γ = 120.00°
Last column: nearest neighbours and their distance in Å.
Sites, in units of the cell vectors:
K (0.3333, 0.6667, 0.1559)  6 K 3.55, 3 Sc 3.95
K (0.6667, 0.3333, 0.8441)  6 K 3.55, 3 Sc 3.95
Sc (0.3333, 0.6667, 0.5889)  3 Sc 3.12
Sc (0.6667, 0.3333, 0.4111)  3 Sc 3.12

---

[2]
KSc: single point on PBEsol structure, SCAN.

Output
- Formation energy: 0.5421 eV/atom
- Final energy: -10.741 eV/atom

a = 8.1129 Å, b = 8.1129 Å, c = 9.0676 Å
α = 104.07°, β = 104.07°, γ = 24.28°
Last column: nearest neighbours and their distance in Å.
Sites, in units of the cell vectors:
K (0.0000, 0.0000, 0.0000)  2 K 3.41
K (0.0567, 0.0567, 0.5370)  2 K 3.41
K (0.3226, 0.3226, 0.6373)  2 K 3.41
Sc (0.3449, 0.3449, 0.2156)  4 Sc 3.03-3.08
Sc (0.6966, 0.6966, 0.2664)  3 Sc 2.93-3.03
Sc (0.7293, 0.7293, 0.9618)  3 Sc 2.93-3.08

---

[3]
KSc: single point on PBEsol structure, SCAN.

Output
- Formation energy: 0.5215 eV/atom
- Final energy: -10.761 eV/atom

a = 3.4385 Å, b = 4.7555 Å, c = 10.3453 Å
α = 90.00°, β = 90.00°, γ = 90.00°
Last column: nearest neighbours and their distance in Å.
Sites, in units of the cell vectors:
K (0.2500, 0.2500, 0.1824)  2 K 3.44, 2 Sc 3.74
K (0.7500, 0.7500, 0.8176)  2 K 3.44, 2 Sc 3.74
Sc (0.2500, 0.7500, 0.4611)  4 Sc 3.04
Sc (0.7500, 0.2500, 0.5389)  4 Sc 3.04

---

[4]
KSc2: single point on PBEsol structure, SCAN.

Output
- Formation energy: 0.7871 eV/atom
- Final energy: -11.481 eV/atom

a = 5.8617 Å, b = 5.8617 Å, c = 3.0699 Å
α = 90.00°, β = 90.00°, γ = 120.00°
Last column: nearest neighbours and their distance in Å.
Sites, in units of the cell vectors:
K (0.0000, 0.0000, 0.0000)  2 K 3.07
Sc (0.3333, 0.6667, 0.5000)  5 Sc 3.07-3.38
Sc (0.6667, 0.3333, 0.5000)  5 Sc 3.07-3.38

---

no.,N(E_F) (states/eV per cell)
1,3.31
2,7.24
3,3.70
4,3.86